First-principles (PBE) data for crystalline Nd2HoZn2Sn2 at its relaxed geometry, as listed in Alexandria.

The structure in POSCAR format:
```
Nd2HoZn2Sn2
1.0
4.669 0.000 0.000
2.335 4.044 0.000
2.335 1.348 9.553
Ho Nd Sn Zn
1 2 2 2
Direct
0.000 0.000 0.000
0.129 0.129 0.613
0.871 0.871 0.387
0.728 0.728 0.815
0.272 0.272 0.185
0.412 0.412 0.763
0.588 0.588 0.237
```

Computed properties:
- ΔH_f (0 K): -352 meV/atom
- Space group: R-3m (166)